# 1
Here is a relaxed Al2TlCdC crystal from Alexandria via LeMat-Bulk. Energies are from GGA-PBEsol.

a = 4.9454 Å, b = 4.9454 Å, c = 5.5471 Å
α = 90.00°, β = 90.00°, γ = 90.00°
Last column: magnetic moment on the atom in μB.
Atoms (fractional coordinates):
C (0.5000, 0.5000, 0.5000)  0.88
Al (0.5000, 0.0000, 0.0000)  -0.01
Al (0.0000, 0.5000, 0.0000)  -0.01
Tl (0.0000, 0.0000, 0.5000)  0.02
Cd (0.0000, 0.0000, 0.0000)  0.02

Results
**SG**: P4/mmm, No. 123
**Calculated formation energy**: 1.92 eV per atom
**V**: 27.1 Å³ per atom

---

# 2
Here is a relaxed AlCCl2 crystal from Alexandria via LeMat-Bulk. Energies are from GGA-PBEsol.

a = 3.1527 Å, b = 3.1527 Å, c = 8.0439 Å
α = 78.70°, β = 78.70°, γ = 60.00°
Atoms (fractional coordinates):
C (0.0000, 0.0000, 0.0000)
Al (0.5000, 0.5000, 0.5000)
Cl (0.9125, 0.9125, 0.2626)
Cl (0.0875, 0.0875, 0.7374)

Results
**SG**: R-3m, No. 166
**V**: 16.9 Å³ per atom
**Formation energy from raw total energies**: 1.15 eV/atom